Record 1
An optimized crystal structure of Ti3BeTc. Source: Alexandria, functional PBE-GGA.

Structure (POSCAR):
```
Ti3BeTc
1.0
4.293 0.000 0.000
0.000 4.293 0.000
0.000 0.000 4.293
Ti Be Tc
3 1 1
Cartesian
0.000 0.000 2.147
0.000 2.147 0.000
2.147 0.000 0.000
0.000 0.000 0.000
2.147 2.147 2.147
```

Calculated total energy: -35.17 eV per cell
Energy above the lowest structure with this stoichiometry: 0 meV per atom

Record 2
An optimized crystal structure of Pm2Al3SnPt4. Source: Alexandria, functional PBE-GGA.

Structure (POSCAR):
```
Pm2Al3SnPt4
1.0
4.351 0.000 0.000
0.000 4.351 0.000
0.000 0.000 10.497
Pm Al Sn Pt
2 3 1 4
Cartesian
0.000 2.176 2.564
2.176 0.000 7.933
0.000 2.176 9.220
2.176 0.000 1.277
2.176 2.176 5.248
0.000 0.000 5.248
0.000 0.000 0.000
0.000 2.176 6.769
2.176 0.000 3.728
2.176 2.176 0.000
```

Calculated total energy: -59.47 eV per cell

Record 3
An optimized crystal structure of GeSb2TeH. Source: Alexandria, functional PBE-GGA.

Structure (POSCAR):
```
GeSb2TeH
1.0
4.443 0.000 0.000
0.000 4.443 0.000
0.000 0.000 5.645
Ge Sb Te H
1 2 1 1
Cartesian
0.000 0.000 0.000
0.000 2.221 2.823
2.221 0.000 2.823
2.221 2.221 0.000
2.221 2.221 2.823
```

Calculated total energy: -16.94 eV per cell
Energy above the lowest structure with this stoichiometry: 0 meV per atom

Record 4
An optimized crystal structure of CdSiF2. Source: Alexandria, functional PBE-GGA.

Structure (POSCAR):
```
CdSiF2
1.0
0.000 3.114 3.114
3.114 0.000 3.114
3.114 3.114 0.000
Cd Si F
1 1 2
Cartesian
0.000 0.000 0.000
3.114 3.114 3.114
1.557 1.557 1.557
4.672 4.672 4.672
```

Calculated total energy: -13.19 eV per cell
Energy above the lowest structure with this stoichiometry: 730 meV per atom
Uncorrected formation energy: -0.78 eV per atom

Record 5
An optimized crystal structure of BaNaTmSe3. Source: Alexandria, functional PBE-GGA.

Structure (POSCAR):
```
BaNaTmSe3
1.0
8.743 0.000 0.000
0.000 4.353 0.000
-2.807 0.000 9.188
Ba Na Tm Se
2 2 2 6
Cartesian
1.236 1.088 2.283
4.700 3.265 6.905
-0.856 1.088 5.400
6.791 3.265 3.789
0.454 3.265 7.788
5.482 1.088 1.400
-1.479 1.088 8.050
0.752 3.265 4.897
3.571 3.265 1.402
2.365 1.088 7.787
5.183 1.088 4.292
7.415 3.265 1.138
```

Calculated total energy: -56.33 eV per cell
Uncorrected formation energy: -1.67 eV per atom

Record 6
An optimized crystal structure of Dy2LuTe. Source: Alexandria, functional PBE-GGA.

Structure (POSCAR):
```
Dy2LuTe
1.0
1.914 1.105 9.830
-1.914 1.105 9.830
0.000 -2.211 9.830
Dy Lu Te
2 1 1
Cartesian
0.000 0.000 7.066
0.000 0.000 22.423
0.000 0.000 0.000
0.000 0.000 14.745
```

Calculated total energy: -18.87 eV per cell
Energy above the lowest structure with this stoichiometry: 48 meV per atom
Uncorrected formation energy: -0.50 eV per atom

Record 7
An optimized crystal structure of K2BCl5. Source: Alexandria, functional PBE-GGA.

Structure (POSCAR):
```
K2BCl5
1.0
4.555 -4.546 0.000
4.555 4.546 0.000
-2.922 0.000 6.209
K B Cl
2 1 5
Cartesian
4.555 2.384 0.000
4.555 -2.384 0.000
-0.680 0.000 4.017
0.134 1.524 3.364
-0.456 0.000 5.955
0.134 -1.524 3.364
6.685 0.000 0.026
6.626 0.000 3.713
```

Calculated total energy: -29.60 eV per cell
Uncorrected formation energy: -1.44 eV per atom

Record 8
An optimized crystal structure of Tb2AlPbO6. Source: Alexandria, functional PBE-GGA.

Structure (POSCAR):
```
Tb2AlPbO6
1.0
5.283 0.000 0.000
0.000 5.283 0.000
0.000 0.000 5.263
Tb Al Pb O
2 1 1 6
Cartesian
0.000 2.642 0.000
2.642 0.000 0.000
0.000 0.000 3.241
2.642 2.642 2.929
0.000 0.000 1.442
1.227 1.227 3.982
1.227 4.056 3.982
2.642 2.642 0.712
4.056 1.227 3.982
4.056 4.056 3.982
```

Calculated total energy: -71.49 eV per cell
Uncorrected formation energy: -2.50 eV per atom